1.
Here is a relaxed DyMg6Cd2 crystal from Alexandria. Energies are from PBE.

abc: 9.179 9.179 9.179
angles: 60.00 60.00 60.00
Positions (direct):
Dy1 0.500 0.500 0.500
Dy2 0.750 0.750 0.750
Mg1 0.252 0.252 0.748
Mg2 0.748 0.748 0.252
Mg3 0.252 0.748 0.252
Mg4 0.252 0.748 0.748
Mg5 0.502 0.502 0.998
Mg6 0.502 0.998 0.998
Mg7 0.748 0.252 0.748
Mg8 0.998 0.998 0.502
Mg9 0.502 0.998 0.502
Mg10 0.998 0.502 0.502
Mg11 0.748 0.252 0.252
Mg12 0.998 0.502 0.998
Cd1 0.125 0.125 0.125
Cd2 0.125 0.625 0.125
Cd3 0.125 0.125 0.625
Cd4 0.625 0.125 0.125

Values from the calculation:
The energy above the lowest structure with this stoichiometry comes out at 457 meV per atom. As for the magnetic moment: 0.00 Bohr magnetons per cell. Its energy of formation from the pure elements is 382 meV/atom.


2.
Here is a relaxed DyMg3Cd3 crystal from Alexandria. Energies are from PBE.

abc: 8.709 8.709 8.709
angles: 90.00 90.00 90.00
Positions (direct):
Dy1 0.048 0.548 0.952
Dy2 0.952 0.048 0.548
Dy3 0.452 0.452 0.452
Dy4 0.548 0.952 0.048
Mg1 0.831 0.331 0.169
Mg2 0.870 0.870 0.870
Mg3 0.809 0.691 0.309
Mg4 0.169 0.831 0.331
Mg5 0.191 0.191 0.191
Mg6 0.309 0.809 0.691
Mg7 0.130 0.370 0.630
Mg8 0.331 0.169 0.831
Mg9 0.691 0.309 0.809
Mg10 0.669 0.669 0.669
Mg11 0.630 0.130 0.370
Mg12 0.370 0.630 0.130
Cd1 0.688 0.603 0.007
Cd2 0.897 0.993 0.188
Cd3 0.007 0.688 0.603
Cd4 0.103 0.493 0.312
Cd5 0.312 0.103 0.493
Cd6 0.188 0.897 0.993
Cd7 0.993 0.188 0.897
Cd8 0.397 0.507 0.812
Cd9 0.493 0.312 0.103
Cd10 0.603 0.007 0.688
Cd11 0.812 0.397 0.507
Cd12 0.507 0.812 0.397

Values from the calculation:
The energy above the lowest structure with this stoichiometry comes out at 32 meV per atom. As for the magnetic moment: 0.00 Bohr magnetons per cell. Its energy of formation from the pure elements is -116 meV/atom.


3.
Here is a relaxed Dy7Mg3Cd crystal from Alexandria. Energies are from PBE.

abc: 5.717 8.109 8.109
angles: 88.91 110.66 110.66
Positions (direct):
Dy1 0.192 0.192 0.192
Dy2 0.328 0.055 0.601
Dy3 0.672 0.399 0.945
Dy4 0.328 0.601 0.055
Dy5 0.000 0.500 0.500
Dy6 0.672 0.945 0.399
Dy7 0.808 0.808 0.808
Mg1 0.000 0.779 0.221
Mg2 0.500 0.000 0.000
Mg3 0.000 0.221 0.779
Cd1 0.500 0.500 0.500

Values from the calculation:
As for the magnetic moment: 0.00 Bohr magnetons per cell. Its energy of formation from the pure elements is 139 meV/atom.


4.
Here is a relaxed Dy4Mg3Cd crystal from Alexandria. Energies are from PBE.

abc: 3.399 5.068 12.621
angles: 90.00 90.00 90.00
Positions (direct):
Dy1 0.500 0.500 0.326
Dy2 0.000 0.500 0.831
Dy3 0.000 0.000 0.168
Dy4 0.500 0.000 0.674
Mg1 0.000 0.500 0.565
Mg2 0.000 0.000 0.434
Mg3 0.500 0.000 0.936
Cd1 0.500 0.500 0.066

Values from the calculation:
The energy above the lowest structure with this stoichiometry comes out at 51 meV per atom. As for the magnetic moment: 0.00 Bohr magnetons per cell. Its energy of formation from the pure elements is -88 meV/atom.